No. 1
The following is a DFT calculation (PBE) of crystalline RbLiZn2Au at its relaxed geometry.

Summary:
Mass density   5.216 g cm⁻³
ΔH_f (0 K)   -117 meV/atom
Crystal system   tetragonal
Space group   P4/mmm (123)

Unit cell a=5.051 b=5.051 c=5.244 alpha=90.00 beta=90.00 gamma=90.00
Fractional positions:
1 Rb 0.000 0.000 0.000
2 Li 0.500 0.500 0.000
3 Zn 0.000 0.500 0.500
4 Zn 0.500 0.000 0.500
5 Au 0.500 0.500 0.500



No. 2
The following is a DFT calculation (PBE) of crystalline RbLi2ZnAu at its relaxed geometry.

Summary:
Mass density   4.351 g cm⁻³
ΔH_f (0 K)   -140 meV/atom
Crystal system   tetragonal
Space group   P4/mmm (123)
ΔE to the lowest computed polymorph   0.0 kJ per mole of atoms

Unit cell a=5.219 b=5.219 c=5.067 alpha=90.00 beta=90.00 gamma=90.00
Fractional positions:
1 Rb 0.000 0.000 0.000
2 Li 0.000 0.500 0.500
3 Li 0.500 0.000 0.500
4 Zn 0.500 0.500 0.000
5 Au 0.500 0.500 0.500



No. 3
The following is a DFT calculation (PBE) of crystalline LiRe2Au at its relaxed geometry.

Summary:
Mass density   16.163 g cm⁻³
ΔH_f (0 K)   634 meV/atom
Crystal system   tetragonal
Space group   P4/mmm (123)
ΔE to the lowest computed polymorph   48.1 kJ per mole of atoms

Unit cell a=3.272 b=3.272 c=5.530 alpha=90.00 beta=90.00 gamma=90.00
Fractional positions:
1 Li 0.000 0.000 0.000
2 Re 0.500 0.500 0.211
3 Re 0.500 0.500 0.789
4 Au 0.000 0.000 0.500



No. 4
The following is a DFT calculation (PBE) of crystalline LiRe2Au at its relaxed geometry.

Summary:
Mass density   16.034 g cm⁻³
ΔH_f (0 K)   324 meV/atom
Crystal system   orthorhombic
Space group   Imm2 (44)
ΔE to the lowest computed polymorph   18.2 kJ per mole of atoms

Unit cell a=3.891 b=4.298 c=7.137 alpha=90.00 beta=90.00 gamma=90.00
Fractional positions:
1 Li 0.000 0.000 0.000
2 Li 0.500 0.500 0.500
3 Re 0.000 0.000 0.490
4 Re 0.000 0.500 0.754
5 Re 0.500 0.000 0.254
6 Re 0.500 0.500 0.990
7 Au 0.000 0.500 0.260
8 Au 0.500 0.000 0.760



DFT total energy
In order: -1.8582, -2.0093, -6.8883, -7.1978
Unit: eV/atom
Spin magnetization
In order: 0.00, 0.00, 0.00, 0.00
Unit: μB per formula unit
N(E_F)
In order: 0.4225, 0.5313, 0.5298, 0.6777
Unit: states/eV per atom